(1)
This record from Alexandria via LeMat-Bulk describes a relaxed TaRh3 crystal. The functional is PBE.

The calculation puts the energy of formation at -216 meV per atom. The density comes out at 13.5 g/cm3. As for the space-group type: P4/mmm, No. 123. Its uncorrected energy is -8.69 eV/atom.

a b c (Å): 2.785 2.785 7.790
angles (deg): 90.00 90.00 90.00
Element x y z (fractional)
Rh  0.000  0.000  0.746
Rh  0.000  0.000  0.254
Rh  0.500  0.500  0.500
Ta  0.500  0.500  0.000


(2)
This record from Alexandria via LeMat-Bulk describes a relaxed SbMoPb2 crystal. The functional is PBE.

The density comes out at 10.2 g/cm3. As for the space-group type: C2/m, No. 12. Its uncorrected energy is -4.88 eV/atom. For the energy relative to the elements, uncorrected, the calculation gives 715 meV per atom.

a b c (Å): 5.350 6.359 3.456
angles (deg): 76.01 85.90 113.66
Element x y z (fractional)
Sb  0.000  0.500  0.500
Pb  0.000  0.000  0.000
Pb  0.500  0.000  0.500
Mo  0.500  0.500  0.000


(3)
This record from Alexandria via LeMat-Bulk describes a relaxed CaGdAs crystal. The functional is PBE.

The calculation puts the energy of formation at -836 meV per atom. The density comes out at 4.6 g/cm3. As for the space-group type: P3m1, No. 156. Its uncorrected energy is -7.75 eV/atom.

a b c (Å): 6.721 4.128 4.128
angles (deg): 120.00 90.00 90.00
Element x y z (fractional)
Ca  0.749  0.667  0.333
As  0.011  0.000  0.000
Gd  0.240  0.333  0.667


(4)
This record from Alexandria via LeMat-Bulk describes a relaxed TaZnIr2O crystal. The functional is PBE.

The density comes out at 14.7 g/cm3. As for the space-group type: P4/mmm, No. 123. Its uncorrected energy is -7.05 eV/atom. For the energy relative to the elements, uncorrected, the calculation gives 115 meV per atom.

a b c (Å): 4.280 4.000 4.280
angles (deg): 90.00 90.00 90.00
Element x y z (fractional)
Ta  0.000  0.500  0.000
Ir  0.500  0.000  0.000
Ir  0.000  0.000  0.500
Zn  0.500  0.500  0.500
O  0.000  0.000  0.000


(5)
This record from Alexandria via LeMat-Bulk describes a relaxed Be2SeI crystal. The functional is PBE.

The density comes out at 4.6 g/cm3. As for the space-group type: I-42d, No. 122. Its uncorrected energy is -3.10 eV/atom. For the energy relative to the elements, uncorrected, the calculation gives 26 meV per atom.

a b c (Å): 5.932 5.932 6.251
angles (deg): 61.68 61.68 90.00
Element x y z (fractional)
Be  0.375  0.430  0.750
Be  0.180  0.625  0.250
Be  0.570  0.125  0.250
Be  0.875  0.820  0.750
I  0.750  0.250  0.500
I  0.000  0.000  0.000
Se  0.250  0.750  0.500
Se  0.500  0.500  0.000


(6)
This record from Alexandria via LeMat-Bulk describes a relaxed TlZnP crystal. The functional is PBE.

The calculation puts the energy of formation at -72 meV per atom. The density comes out at 7.0 g/cm3. As for the space-group type: P-6m2, No. 187. Its uncorrected energy is -3.09 eV/atom.

a b c (Å): 4.060 4.060 5.003
angles (deg): 90.00 90.00 120.00
Element x y z (fractional)
Tl  0.667  0.333  0.334
Zn  0.333  0.667  0.833
P  0.000  0.000  0.833


(7)
This record from Alexandria via LeMat-Bulk describes a relaxed LiNdAl2Zn4 crystal. The functional is PBE.

The calculation puts the energy of formation at -250 meV per atom. The density comes out at 5.5 g/cm3. As for the space-group type: R-3m, No. 166. Its uncorrected energy is -2.66 eV/atom.

a b c (Å): 4.435 4.435 8.660
angles (deg): 75.16 75.16 60.00
Element x y z (fractional)
Nd  0.000  0.000  0.000
Li  0.500  0.500  0.500
Zn  0.132  0.132  0.604
Zn  0.398  0.398  0.807
Zn  0.602  0.602  0.193
Zn  0.868  0.868  0.396
Al  0.244  0.244  0.267
Al  0.756  0.756  0.733


(8)
This record from Alexandria via LeMat-Bulk describes a relaxed Na6B11C crystal. The functional is PBE.

The calculation puts the energy of formation at 265 meV per atom. The density comes out at 2.2 g/cm3. As for the space-group type: Cm, No. 8. Its uncorrected energy is -4.77 eV/atom.

a b c (Å): 8.073 8.073 10.157
angles (deg): 121.00 121.00 20.98
Element x y z (fractional)
Na  0.835  0.835  0.503
Na  0.999  0.999  0.999
Na  0.666  0.666  0.997
Na  0.333  0.333  0.000
Na  0.500  0.500  0.501
Na  0.166  0.166  0.500
B  0.806  0.806  0.750
B  0.694  0.694  0.752
B  0.140  0.140  0.751
B  0.027  0.027  0.749
B  0.638  0.638  0.250
B  0.473  0.473  0.749
B  0.855  0.855  0.250
B  0.965  0.965  0.250
B  0.206  0.206  0.250
B  0.531  0.531  0.250
B  0.360  0.360  0.749
C  0.304  0.304  0.250


(9)
This record from Alexandria via LeMat-Bulk describes a relaxed TlCrS2Cl crystal. The functional is PBE.

The density comes out at 4.3 g/cm3. As for the space-group type: P4/mmm, No. 123. Its uncorrected energy is -3.85 eV/atom. For the energy relative to the elements, uncorrected, the calculation gives 571 meV per atom.

a b c (Å): 5.137 5.137 5.235
angles (deg): 90.00 90.00 90.00
Element x y z (fractional)
Cl  0.000  0.000  0.500
Tl  0.000  0.000  0.000
S  0.000  0.500  0.000
S  0.500  0.000  0.000
Cr  0.500  0.500  0.500


(10)
This record from Alexandria via LeMat-Bulk describes a relaxed CsLa crystal. The functional is PBE.

The calculation puts the energy of formation at 1485 meV per atom. The density comes out at 4.6 g/cm3. As for the space-group type: F-43m, No. 216. Its uncorrected energy is -1.41 eV/atom.

a b c (Å): 7.334 7.334 7.334
angles (deg): 90.00 90.00 90.00
Element x y z (fractional)
La  0.500  0.500  0.000
La  0.500  0.000  0.500
La  0.000  0.000  0.000
La  0.000  0.500  0.500
Cs  0.750  0.750  0.250
Cs  0.750  0.250  0.750
Cs  0.250  0.250  0.250
Cs  0.250  0.750  0.750


(11)
This record from Alexandria via LeMat-Bulk describes a relaxed KAgRu2 crystal. The functional is PBE.

The calculation puts the energy of formation at 1069 meV per atom. The density comes out at 7.9 g/cm3. As for the space-group type: Pmmm, No. 47. Its uncorrected energy is -4.56 eV/atom.

a b c (Å): 2.728 4.947 5.436
angles (deg): 90.00 90.00 90.00
Element x y z (fractional)
Ru  0.500  0.500  0.000
Ru  0.000  0.000  0.000
K  0.000  0.500  0.500
Ag  0.500  0.000  0.500


(12)
This record from Alexandria via LeMat-Bulk describes a relaxed PmY8Ho2 crystal. The functional is PBE.

The calculation puts the energy of formation at 178 meV per atom. The density comes out at 5.4 g/cm3. As for the space-group type: Cm, No. 8. Its uncorrected energy is -5.79 eV/atom.

a b c (Å): 5.427 8.372 8.371
angles (deg): 105.03 90.07 90.07
Element x y z (fractional)
Y  0.499  0.702  0.972
Y  0.000  0.338  0.338
Y  0.499  0.972  0.702
Y  0.000  0.259  0.748
Y  0.000  0.668  0.668
Y  0.501  0.304  0.034
Y  0.000  0.748  0.259
Y  0.501  0.034  0.304
Pm  0.000  0.003  0.003
Ho  0.500  0.623  0.383
Ho  0.500  0.383  0.623


(13)
This record from Alexandria via LeMat-Bulk describes a relaxed NpTc2P2Ru crystal. The functional is PBE.

The calculation puts the energy of formation at -480 meV per atom. The density comes out at 10.8 g/cm3. As for the space-group type: Pmc2_1, No. 26. Its uncorrected energy is -9.44 eV/atom.

a b c (Å): 3.993 6.046 7.561
angles (deg): 90.00 90.00 90.00
Element x y z (fractional)
P  0.500  0.265  0.330
P  0.000  0.748  0.110
P  0.000  0.248  0.890
P  0.500  0.765  0.670
Np  0.000  0.465  0.569
Np  0.000  0.965  0.431
Tc  0.000  0.869  0.824
Tc  0.500  0.539  0.940
Tc  0.500  0.039  0.060
Tc  0.000  0.369  0.176
Ru  0.500  0.661  0.299
Ru  0.500  0.161  0.701


(14)
This record from Alexandria via LeMat-Bulk describes a relaxed SmEuMgAu crystal. The functional is PBE.

The calculation puts the energy of formation at -366 meV per atom. The density comes out at 8.0 g/cm3. As for the space-group type: F-43m, No. 216. Its uncorrected energy is -5.33 eV/atom.

a b c (Å): 5.359 5.359 5.359
angles (deg): 60.00 60.00 60.00
Element x y z (fractional)
Au  0.500  0.500  0.500
Sm  0.750  0.750  0.750
Eu  0.250  0.250  0.250
Mg  0.000  0.000  0.000


(15)
This record from Alexandria via LeMat-Bulk describes a relaxed Y5HgPb4 crystal. The functional is PBE.

The calculation puts the energy of formation at -369 meV per atom. The density comes out at 8.0 g/cm3. As for the space-group type: I4, No. 79. Its uncorrected energy is -5.11 eV/atom.

a b c (Å): 6.321 7.645 7.645
angles (deg): 80.16 65.58 65.58
Element x y z (fractional)
Y  0.877  0.408  0.785
Y  0.618  0.000  0.000
Y  0.284  0.785  0.592
Y  0.070  0.592  0.215
Y  0.662  0.215  0.408
Hg  0.119  0.000  0.000
Pb  0.758  0.816  0.609
Pb  0.574  0.609  0.184
Pb  0.183  0.184  0.391
Pb  0.366  0.391  0.816


(16)
This record from Alexandria via LeMat-Bulk describes a relaxed PmReO4F crystal. The functional is PBE.

The density comes out at 6.3 g/cm3. As for the space-group type: P-1, No. 2. Its uncorrected energy is -7.85 eV/atom. For the energy relative to the elements, uncorrected, the calculation gives -2290 meV per atom.

a b c (Å): 6.115 5.773 7.585
angles (deg): 79.27 123.08 103.65
Element x y z (fractional)
O  0.927  0.514  0.277
O  0.413  0.710  0.501
O  0.694  0.261  0.880
O  0.306  0.739  0.120
O  0.973  0.013  0.668
O  0.073  0.486  0.723
O  0.027  0.987  0.332
O  0.587  0.290  0.499
F  0.798  0.835  0.927
F  0.202  0.165  0.073
Pm  0.262  0.301  0.571
Pm  0.738  0.699  0.429
Re  0.879  0.213  0.775
Re  0.121  0.787  0.225


(17)
This record from Alexandria via LeMat-Bulk describes a relaxed Nd8Si3AuI4 crystal. The functional is PBE.

The density comes out at 6.4 g/cm3. As for the space-group type: R-3m, No. 166. Its uncorrected energy is -4.90 eV/atom. For the energy relative to the elements, uncorrected, the calculation gives -902 meV per atom.

a b c (Å): 8.711 9.133 8.711
angles (deg): 118.48 120.00 90.00
Element x y z (fractional)
Au  0.000  0.500  0.000
Si  0.500  0.500  0.500
Si  0.000  0.500  0.500
Si  0.500  0.500  0.000
I  0.000  0.000  0.500
I  0.500  0.000  0.000
I  0.000  0.000  0.000
I  0.500  0.000  0.500
Nd  0.267  0.301  0.534
Nd  0.762  0.297  0.525
Nd  0.762  0.297  0.034
Nd  0.733  0.699  0.466
Nd  0.238  0.703  0.966
Nd  0.238  0.703  0.475
Nd  0.272  0.297  0.034
Nd  0.728  0.703  0.966


(18)
This record from Alexandria via LeMat-Bulk describes a relaxed PrTh2P crystal. The functional is PBE.

The calculation puts the energy of formation at -375 meV per atom. The density comes out at 8.1 g/cm3. As for the space-group type: R-3m, No. 166. Its uncorrected energy is -6.63 eV/atom.

a b c (Å): 3.791 3.791 10.743
angles (deg): 79.84 79.84 60.00
Element x y z (fractional)
Th  0.111  0.111  0.667
Th  0.889  0.889  0.333
P  0.500  0.500  0.500
Pr  0.000  0.000  0.000


(19)
This record from Alexandria via LeMat-Bulk describes a relaxed SrCdS2 crystal. The functional is PBE.

The density comes out at 3.2 g/cm3. As for the space-group type: R-3m, No. 166. Its uncorrected energy is -3.90 eV/atom. For the energy relative to the elements, uncorrected, the calculation gives -1187 meV per atom.

a b c (Å): 7.982 7.982 7.982
angles (deg): 33.53 33.53 33.53
Element x y z (fractional)
Cd  0.000  0.000  0.000
S  0.897  0.897  0.897
S  0.103  0.103  0.103
Sr  0.500  0.500  0.500


(20)
This record from Alexandria via LeMat-Bulk describes a relaxed InFe2Ir crystal. The functional is PBE.

The calculation puts the energy of formation at 300 meV per atom. The density comes out at 11.6 g/cm3. As for the space-group type: R-3m, No. 166. Its uncorrected energy is -6.83 eV/atom.

a b c (Å): 8.862 8.862 8.862
angles (deg): 18.27 18.27 18.27
Element x y z (fractional)
Ir  0.250  0.250  0.250
Fe  0.996  0.996  0.996
Fe  0.504  0.504  0.504
In  0.750  0.750  0.750